No. 1
Crystalline NaCaPr2Te4 at its relaxed geometry. Source: the Alexandria database, functional GGA-PBE.

Calculated values
The value obtained for the total magnetization is 0.00 μB/cell. The space-group type is P2/m, No. 10. For the uncorrected formation energy, the calculation gives -1433.9 meV per atom.

Geometry as POSCAR:
```
NaCaPr2Te4
1.0
4.5121 0.0000 0.0000
0.0000 7.9374 -0.2101
0.0000 2.7435 7.3201
Te Na Pr Ca
4 1 2 1
direct
0.0000 0.7462 0.7519 Te
0.5000 0.2505 0.7514 Te
0.5000 0.7495 0.2486 Te
0.0000 0.2538 0.2481 Te
0.0000 0.5000 0.5000 Na
0.5000 0.0000 0.5000 Pr
0.0000 0.0000 0.0000 Pr
0.5000 0.5000 0.0000 Ca
```


No. 2
Crystalline NaCa4Pr3Te8 at its relaxed geometry. Source: the Alexandria database, functional GGA-PBE.

Calculated values
The value obtained for the total magnetization is 0.00 μB/cell. The space-group type is C2/m, No. 12. For the uncorrected formation energy, the calculation gives -1507.6 meV per atom.

Geometry as POSCAR:
```
NaCa4Pr3Te8
1.0
9.0348 0.0000 0.0000
0.0000 9.0732 0.0196
-4.5174 -4.5145 6.3923
Ca Pr Te Na
4 3 8 1
direct
0.0000 0.0000 0.5000 Ca
0.5000 0.0000 0.0000 Ca
0.5000 0.0000 0.5000 Ca
0.0000 0.0000 0.0000 Ca
0.5000 0.5000 0.0000 Pr
0.0000 0.5000 0.5000 Pr
0.5000 0.5000 0.5000 Pr
0.7480 0.2451 0.4960 Te
0.7522 0.7559 0.5045 Te
0.7514 0.7538 0.0028 Te
0.2486 0.2462 0.9972 Te
0.2478 0.2441 0.4955 Te
0.7487 0.2462 0.9972 Te
0.2513 0.7538 0.0028 Te
0.2520 0.7549 0.5040 Te
0.0000 0.5000 0.0000 Na
```


Repeat the first record exactly.
Crystalline NaCaPr2Te4 at its relaxed geometry. Source: the Alexandria database, functional GGA-PBE.

Calculated values
The value obtained for the total magnetization is 0.00 μB/cell. The space-group type is P2/m, No. 10. For the uncorrected formation energy, the calculation gives -1433.9 meV per atom.

Geometry as POSCAR:
```
NaCaPr2Te4
1.0
4.5121 0.0000 0.0000
0.0000 7.9374 -0.2101
0.0000 2.7435 7.3201
Te Na Pr Ca
4 1 2 1
direct
0.0000 0.7462 0.7519 Te
0.5000 0.2505 0.7514 Te
0.5000 0.7495 0.2486 Te
0.0000 0.2538 0.2481 Te
0.0000 0.5000 0.5000 Na
0.5000 0.0000 0.5000 Pr
0.0000 0.0000 0.0000 Pr
0.5000 0.5000 0.0000 Ca
```


What did the second record say?
Crystalline NaCa4Pr3Te8 at its relaxed geometry. Source: the Alexandria database, functional GGA-PBE.

Calculated values
The value obtained for the total magnetization is 0.00 μB/cell. The space-group type is C2/m, No. 12. For the uncorrected formation energy, the calculation gives -1507.6 meV per atom.

Geometry as POSCAR:
```
NaCa4Pr3Te8
1.0
9.0348 0.0000 0.0000
0.0000 9.0732 0.0196
-4.5174 -4.5145 6.3923
Ca Pr Te Na
4 3 8 1
direct
0.0000 0.0000 0.5000 Ca
0.5000 0.0000 0.0000 Ca
0.5000 0.0000 0.5000 Ca
0.0000 0.0000 0.0000 Ca
0.5000 0.5000 0.0000 Pr
0.0000 0.5000 0.5000 Pr
0.5000 0.5000 0.5000 Pr
0.7480 0.2451 0.4960 Te
0.7522 0.7559 0.5045 Te
0.7514 0.7538 0.0028 Te
0.2486 0.2462 0.9972 Te
0.2478 0.2441 0.4955 Te
0.7487 0.2462 0.9972 Te
0.2513 0.7538 0.0028 Te
0.2520 0.7549 0.5040 Te
0.0000 0.5000 0.0000 Na
```